# CrCu2Br

CrCu2Br after structural relaxation (GGA-PBE, Alexandria via LeMat-Bulk).

Results
Space-group type   No. 139
ΔE_f (raw)   0.54 eV/atom
N(E_F)   1.54 states/eV/f.u.

a = 5.673 Å, b = 5.673 Å, c = 5.673 Å
α = 142.24°, β = 142.24°, γ = 54.46°
Fractional positions:
Cr1 0.000 0.000 0.000
Cu1 0.250 0.750 0.500
Cu2 0.750 0.250 0.500
Br1 0.500 0.500 0.000



# CrCu2Br

CrCu2Br after structural relaxation (GGA-PBE, Alexandria via LeMat-Bulk).

Results
Space-group type   No. 216
ΔE_f (raw)   0.62 eV/atom
N(E_F)   1.83 states/eV/f.u.

a = 4.534 Å, b = 4.534 Å, c = 4.534 Å
α = 60.00°, β = 60.00°, γ = 60.00°
Fractional positions:
Cr1 0.000 0.000 0.000
Cu1 0.500 0.500 0.500
Cu2 0.750 0.750 0.750
Br1 0.250 0.250 0.250



# CrCu3Br9

CrCu3Br9 after structural relaxation (GGA-PBE, Alexandria via LeMat-Bulk).

Results
Space-group type   No. 9
ΔE_f (raw)   -0.34 eV/atom
N(E_F)   14.61 states/eV/f.u.

a = 9.848 Å, b = 9.848 Å, c = 12.509 Å
α = 123.18°, β = 123.18°, γ = 55.17°
Fractional positions:
Cr1 0.220 0.780 0.500
Cr2 0.780 0.220 0.000
Cu1 0.012 0.257 0.832
Cu2 0.257 0.012 0.332
Cu3 0.302 0.439 0.668
Cu4 0.439 0.302 0.168
Cu5 0.684 0.789 0.221
Cu6 0.789 0.684 0.721
Br1 0.080 0.906 0.317
Br2 0.084 0.172 0.172
Br3 0.172 0.084 0.672
Br4 0.178 0.434 0.008
Br5 0.328 0.465 0.356
Br6 0.331 0.686 0.694
Br7 0.434 0.178 0.508
Br8 0.460 0.758 0.220
Br9 0.465 0.328 0.856
Br10 0.505 0.784 0.551
Br11 0.538 0.991 0.106
Br12 0.686 0.331 0.194
Br13 0.758 0.460 0.720
Br14 0.784 0.505 0.051
Br15 0.804 0.921 0.939
Br16 0.906 0.080 0.817
Br17 0.921 0.804 0.439
Br18 0.991 0.538 0.606



# CrCuBr2

CrCuBr2 after structural relaxation (GGA-PBE, Alexandria via LeMat-Bulk).

Results
Space-group type   No. 44
ΔE_f (raw)   0.03 eV/atom
N(E_F)   1.87 states/eV/f.u.

a = 7.686 Å, b = 7.686 Å, c = 7.686 Å
α = 152.52°, β = 151.91°, γ = 39.70°
Fractional positions:
Cr1 0.000 0.000 0.000
Cu1 0.145 0.645 0.500
Br1 0.436 0.436 0.000
Br2 0.666 0.166 0.500



# CrCuBr2

CrCuBr2 after structural relaxation (GGA-PBE, Alexandria via LeMat-Bulk).

Results
Space-group type   No. 8
ΔE_f (raw)   -0.01 eV/atom
N(E_F)   1.60 states/eV/f.u.

a = 5.029 Å, b = 5.029 Å, c = 6.226 Å
α = 91.93°, β = 91.93°, γ = 46.82°
Fractional positions:
Cr1 0.000 0.000 0.000
Cu1 0.708 0.708 0.939
Br1 0.305 0.305 0.769
Br2 0.570 0.570 0.257



# CrCuBr2

CrCuBr2 after structural relaxation (GGA-PBE, Alexandria via LeMat-Bulk).

Results
Space-group type   No. 71
ΔE_f (raw)   0.12 eV/atom
N(E_F)   0.87 states/eV/f.u.

a = 5.451 Å, b = 5.451 Å, c = 5.451 Å
α = 139.59°, β = 99.32°, γ = 94.39°
Fractional positions:
Cr1 0.000 0.000 0.000
Cu1 0.500 0.500 0.000
Br1 0.259 0.759 0.500
Br2 0.741 0.241 0.500



# CrCu2Br

CrCu2Br after structural relaxation (GGA-PBE, Alexandria via LeMat-Bulk).

Results
Space-group type   No. 65
ΔE_f (raw)   0.56 eV/atom
N(E_F)   1.90 states/eV/f.u.

a = 4.701 Å, b = 4.701 Å, c = 3.307 Å
α = 90.00°, β = 90.00°, γ = 115.42°
Fractional positions:
Cr1 0.000 0.000 0.000
Cu1 0.000 0.500 0.500
Cu2 0.500 0.000 0.500
Br1 0.500 0.500 0.000



# CrCuBr3

CrCuBr3 after structural relaxation (GGA-PBE, Alexandria via LeMat-Bulk).

Results
Space-group type   No. 221
ΔE_f (raw)   0.01 eV/atom
N(E_F)   2.01 states/eV/f.u.

a = 5.124 Å, b = 5.124 Å, c = 5.124 Å
α = 90.00°, β = 90.00°, γ = 90.00°
Fractional positions:
Cr1 0.000 0.000 0.000
Cu1 0.500 0.500 0.500
Br1 0.000 0.000 0.500
Br2 0.000 0.500 0.000
Br3 0.500 0.000 0.000



# CrCu2Br

CrCu2Br after structural relaxation (GGA-PBE, Alexandria via LeMat-Bulk).

Results
Space-group type   No. 44
ΔE_f (raw)   0.37 eV/atom
N(E_F)   1.68 states/eV/f.u.

a = 6.597 Å, b = 6.597 Å, c = 6.597 Å
α = 152.99°, β = 144.62°, γ = 45.07°
Fractional positions:
Cr1 0.000 0.000 0.000
Cu1 0.174 0.674 0.500
Cu2 0.565 0.565 0.000
Br1 0.836 0.336 0.500



# CrCu2Br

CrCu2Br after structural relaxation (GGA-PBE, Alexandria via LeMat-Bulk).

Results
Space-group type   No. 12
ΔE_f (raw)   0.47 eV/atom
N(E_F)   2.29 states/eV/f.u.

a = 4.771 Å, b = 4.771 Å, c = 4.991 Å
α = 92.12°, β = 92.12°, γ = 43.42°
Fractional positions:
Cr1 0.000 0.000 0.000
Cu1 0.292 0.292 0.146
Cu2 0.708 0.708 0.854
Br1 0.500 0.500 0.500



# CrCuBr2

CrCuBr2 after structural relaxation (GGA-PBE, Alexandria via LeMat-Bulk).

Results
Space-group type   No. 6
ΔE_f (raw)   -0.07 eV/atom
N(E_F)   1.42 states/eV/f.u.

a = 4.081 Å, b = 3.885 Å, c = 6.823 Å
α = 90.00°, β = 94.45°, γ = 90.00°
Fractional positions:
Cr1 0.000 0.000 0.000
Cu1 0.477 0.500 0.901
Br1 0.326 0.000 0.692
Br2 0.773 0.500 0.219



# CrCu2Br

CrCu2Br after structural relaxation (GGA-PBE, Alexandria via LeMat-Bulk).

Results
Space-group type   No. 166
ΔE_f (raw)   0.52 eV/atom
N(E_F)   1.31 states/eV/f.u.

a = 7.715 Å, b = 7.715 Å, c = 7.715 Å
α = 24.13°, β = 24.13°, γ = 24.13°
Fractional positions:
Cr1 0.000 0.000 0.000
Cu1 0.254 0.254 0.254
Cu2 0.746 0.746 0.746
Br1 0.500 0.500 0.500



# CrCu2Br

CrCu2Br after structural relaxation (GGA-PBE, Alexandria via LeMat-Bulk).

Results
Space-group type   No. 225
ΔE_f (raw)   0.75 eV/atom
N(E_F)   1.70 states/eV/f.u.

a = 4.558 Å, b = 4.558 Å, c = 4.558 Å
α = 60.00°, β = 60.00°, γ = 60.00°
Fractional positions:
Cr1 0.000 0.000 0.000
Cu1 0.250 0.250 0.250
Cu2 0.750 0.750 0.750
Br1 0.500 0.500 0.500



# CrCu2Br

CrCu2Br after structural relaxation (GGA-PBE, Alexandria via LeMat-Bulk).

Results
Space-group type   No. 6
ΔE_f (raw)   0.32 eV/atom
N(E_F)   2.59 states/eV/f.u.

a = 3.309 Å, b = 3.235 Å, c = 6.617 Å
α = 90.00°, β = 103.82°, γ = 90.00°
Fractional positions:
Cr1 0.000 0.000 0.000
Cu1 0.387 0.500 0.767
Cu2 0.812 0.000 0.607
Br1 0.640 0.500 0.261



# CrCuBr2

CrCuBr2 after structural relaxation (GGA-PBE, Alexandria via LeMat-Bulk).

Results
Space-group type   No. 122
ΔE_f (raw)   -0.03 eV/atom
N(E_F)   0.48 states/eV/f.u.

a = 7.166 Å, b = 7.166 Å, c = 7.166 Å
α = 130.52°, β = 130.52°, γ = 72.57°
Fractional positions:
Cr1 0.000 0.000 0.000
Cr2 0.750 0.250 0.500
Cu1 0.250 0.750 0.500
Cu2 0.500 0.500 0.000
Br1 0.150 0.625 0.025
Br2 0.375 0.400 0.525
Br3 0.600 0.125 0.975
Br4 0.875 0.850 0.475



# CrCuBr2

CrCuBr2 after structural relaxation (GGA-PBE, Alexandria via LeMat-Bulk).

Results
Space-group type   No. 123
ΔE_f (raw)   0.26 eV/atom
N(E_F)   2.24 states/eV/f.u.

a = 4.821 Å, b = 4.821 Å, c = 3.483 Å
α = 90.00°, β = 90.00°, γ = 90.00°
Fractional positions:
Cr1 0.000 0.000 0.000
Cu1 0.500 0.500 0.000
Br1 0.000 0.500 0.500
Br2 0.500 0.000 0.500



# CrCuBr4

CrCuBr4 after structural relaxation (GGA-PBE, Alexandria via LeMat-Bulk).

Results
Space-group type   No. 216
ΔE_f (raw)   0.97 eV/atom
N(E_F)   6.61 states/eV/f.u.

a = 6.226 Å, b = 6.226 Å, c = 6.226 Å
α = 60.00°, β = 60.00°, γ = 60.00°
Fractional positions:
Cr1 0.000 0.000 0.000
Cu1 0.750 0.750 0.750
Br1 0.375 0.375 0.375
Br2 0.375 0.375 0.874
Br3 0.375 0.874 0.375
Br4 0.874 0.375 0.375



# CrCuBr2

CrCuBr2 after structural relaxation (GGA-PBE, Alexandria via LeMat-Bulk).

Results
Space-group type   No. 10
ΔE_f (raw)   0.12 eV/atom
N(E_F)   0.90 states/eV/f.u.

a = 4.033 Å, b = 3.739 Å, c = 6.599 Å
α = 90.00°, β = 94.46°, γ = 90.00°
Fractional positions:
Cr1 0.000 0.000 0.000
Cu1 0.500 0.000 0.500
Br1 0.277 0.500 0.255
Br2 0.723 0.500 0.745



# CrCu2Br

CrCu2Br after structural relaxation (GGA-PBE, Alexandria via LeMat-Bulk).

Results
Space-group type   No. 160
ΔE_f (raw)   0.43 eV/atom
N(E_F)   2.08 states/eV/f.u.

a = 8.109 Å, b = 8.109 Å, c = 8.109 Å
α = 22.95°, β = 22.95°, γ = 22.95°
Fractional positions:
Cr1 0.000 0.000 0.000
Cu1 0.474 0.474 0.474
Cu2 0.740 0.740 0.740
Br1 0.261 0.261 0.261



# CrCuBr2

CrCuBr2 after structural relaxation (GGA-PBE, Alexandria via LeMat-Bulk).

Results
Space-group type   No. 35
ΔE_f (raw)   0.01 eV/atom
N(E_F)   1.66 states/eV/f.u.

a = 3.826 Å, b = 3.826 Å, c = 7.739 Å
α = 90.00°, β = 90.00°, γ = 115.03°
Fractional positions:
Cr1 0.000 0.000 0.000
Cu1 0.500 0.500 0.206
Br1 0.000 0.000 0.357
Br2 0.500 0.500 0.808